Entry 1:
The following is a GGA-PBE calculation of a relaxed SiAg2Sn crystal, from the Alexandria database.

Summary:
Formation energy without anion corrections: 0.26 eV/atom
SG: No. 122
Magnetization: 0.00 μB per formula unit
Calculated total energy: -3.525 eV/atom
Crystal system: tetragonal

a = 9.542 Å, b = 9.542 Å, c = 9.542 Å
α = 154.02°, β = 154.02°, γ = 37.07°
Atoms (fractional coordinates):
Si  0.000  0.000  0.000
Si  0.750  0.250  0.500
Ag  0.094  0.625  0.969
Ag  0.375  0.344  0.469
Ag  0.656  0.125  0.031
Ag  0.875  0.906  0.531
Sn  0.250  0.750  0.500
Sn  0.500  0.500  0.000

=====

Entry 2:
The following is a GGA-PBE calculation of a relaxed BiBS2N crystal, from the Alexandria database.

Summary:
Formation energy without anion corrections: 1.93 eV/atom
SG: No. 123
Energy relative to the lowest polymorph listed for this composition: 1557 meV per atom
Magnetization: 1.97 μB per formula unit
Calculated total energy: -3.494 eV/atom
Crystal system: tetragonal

a = 5.269 Å, b = 5.269 Å, c = 4.438 Å
α = 90.00°, β = 90.00°, γ = 90.00°
Atoms (fractional coordinates):
Bi  0.000  0.000  0.000
B  0.500  0.500  0.500
S  0.000  0.500  0.000
S  0.500  0.000  0.000
N  0.000  0.000  0.500

=====

Entry 3:
The following is a GGA-PBE calculation of a relaxed Mg2ZrPd9 crystal, from the Alexandria database.

Summary:
SG: No. 123
Magnetization: 0.00 μB per formula unit
Calculated total energy: -5.467 eV/atom
Crystal system: tetragonal

a = 4.004 Å, b = 4.004 Å, c = 11.927 Å
α = 90.00°, β = 90.00°, γ = 90.00°
Atoms (fractional coordinates):
Mg  0.000  0.000  0.162
Mg  0.000  0.000  0.838
Zr  0.000  0.000  0.500
Pd  0.000  0.500  0.000
Pd  0.000  0.500  0.332
Pd  0.000  0.500  0.668
Pd  0.500  0.000  0.000
Pd  0.500  0.000  0.332
Pd  0.500  0.000  0.668
Pd  0.500  0.500  0.167
Pd  0.500  0.500  0.500
Pd  0.500  0.500  0.833